Entry 1:
# WAuNO2

A geometry-optimized WAuNO2 structure (PBE with a Hubbard U, Alexandria via LeMat-Bulk).

Cell: 4.1796 4.1796 3.9517 Å, 90.00 90.00 90.00°
Closest atoms and distances in Å follow each position.
Space group P4/mmm (No. 123)
Unique sites:
W (0.0000, 0.0000, 0.0000) (multiplicity 1)  8 O 2.88, 4 N 2.96
Au (0.5000, 0.5000, 0.5000) (multiplicity 1)  2 N 1.98, 4 O 2.09
N (0.5000, 0.5000, 0.0000) (multiplicity 1)  2 Au 1.98
O (0.0000, 0.5000, 0.5000) (multiplicity 2)  2 Au 2.09

Summary:
Magnetic moment   2.296 μB/cell
V   13.8 Å³/atom
Raw total energy   -4.599 eV per atom
DOS at the Fermi energy   0.321 states/eV/atom

***

Entry 2:
# VCdF2

A geometry-optimized VCdF2 structure (PBE with a Hubbard U, Alexandria via LeMat-Bulk).

Cell: 5.6803 5.6803 11.6345 Å, 90.00 90.00 90.00°
Closest atoms and distances in Å follow each position.
Space group I-42d (No. 122)
Unique sites:
V (0.0000, 0.0000, 0.0000) (multiplicity 4)  4 F 2.03
Cd (0.0000, 0.0000, 0.5000) (multiplicity 4)  8 F 3.48-3.51
F (0.0036, 0.2500, 0.1250) (multiplicity 8)  2 V 2.03

Summary:
Magnetic moment   12.006 μB/cell
V   23.5 Å³/atom
Raw total energy   -4.565 eV per atom